Mg2ScZn3: relaxed, PBE-GGA.

Values from the calculation:
space group: No. 123
energy relative to the elements: -0.18 eV/atom
electronic total energy: -2.40 eV/atom

Cell and atoms, written as CIF:
```
data_Mg2ScZn3
_symmetry_space_group_name_H-M 'P 1'
_symmetry_Int_Tables_number 1
_symmetry_space_group_name_Hall 'P 1'
_cell_length_a 3.301
_cell_length_b 3.301
_cell_length_c 10.000
_cell_angle_alpha 90.00
_cell_angle_beta 90.00
_cell_angle_gamma 90.00
loop_
_atom_site_label
_atom_site_type_symbol
_atom_site_fract_x
_atom_site_fract_y
_atom_site_fract_z
Mg1 Mg 0.500 0.500 0.837
Mg2 Mg 0.500 0.500 0.163
Sc1 Sc 0.500 0.500 0.500
Zn1 Zn 0.000 0.000 0.000
Zn2 Zn 0.000 0.000 0.675
Zn3 Zn 0.000 0.000 0.325
```